DFT (PBE-GGA) results for a relaxed structure of BaTaAg2.

Unit cell a=3.3614 b=5.3155 c=5.2552 alpha=90.00 beta=90.00 gamma=90.00
Element x y z (fractional)
Ta1 0.0000 0.5000 0.5000
Ba1 0.5000 0.0000 0.5000
Ag1 0.5000 0.5000 0.0000
Ag2 0.0000 0.0000 0.0000

Calculated values
The value obtained for the total energy is -15.92 eV per cell. The space group is Pmmm, No. 47.